DFT (PBE) results for an optimized crystal structure of CsHo6Te8.

Lattice parameters (Å, degrees): 11.6903 11.6903 4.4358 90.00 90.00 120.00
Space group P-3 (No. 147)
Asymmetric unit:
Cs1 0.0000 0.0000 0.0000
Ho1 0.1376 0.6505 0.7509
Te1 0.0447 0.3526 0.7487
Te2 0.3333 0.6667 0.2504

Properties
Excess energy over the best structure of this formula in the dataset: 0.00 eV per formula unit
Energy relative to the elements, uncorrected: -129.77 kJ/mol of atoms
Calculated total energy: -73.6 eV for the cell shown